# P3SeN, optimized geometry, DFT PBE
# M_tot   0.000 μB per formula unit
# Excess energy over the best structure of this formula in the dataset   0.978 eV per atom
# Uncorrected energy   -4.530 eV per atom
# Calculated volume   73 Å³/cell
# Formation energy without anion corrections   1.077 eV per atom
data_P3SeN
_chemical_formula_sum 'P3 Se1 N1'
_symmetry_space_group_name_H-M 'P 1'
_symmetry_Int_Tables_number 1
_symmetry_space_group_name_Hall 'P 1'
_cell_length_a 4.175
_cell_length_b 4.175
_cell_length_c 4.175
_cell_angle_alpha 90.00
_cell_angle_beta 90.00
_cell_angle_gamma 90.00
loop_
_atom_site_label
_atom_site_fract_x
_atom_site_fract_y
_atom_site_fract_z
P1 0.000 0.000 0.500
P2 0.000 0.500 0.000
P3 0.500 0.000 0.000
Se1 0.500 0.500 0.500
N1 0.000 0.000 0.000

***

# P3SeN, optimized geometry, DFT PBE
# M_tot   0.000 μB per formula unit
# Excess energy over the best structure of this formula in the dataset   0.049 eV per atom
# Uncorrected energy   -5.459 eV per atom
# Calculated volume   200 Å³/cell
# Formation energy without anion corrections   0.148 eV per atom
data_P3SeN
_chemical_formula_sum 'P6 Se2 N2'
_symmetry_space_group_name_H-M 'P 1'
_symmetry_Int_Tables_number 1
_symmetry_space_group_name_Hall 'P 1'
_cell_length_a 7.713
_cell_length_b 3.459
_cell_length_c 7.550
_cell_angle_alpha 90.00
_cell_angle_beta 97.46
_cell_angle_gamma 90.00
loop_
_atom_site_label
_atom_site_fract_x
_atom_site_fract_y
_atom_site_fract_z
P1 0.000 0.000 0.000
P2 0.087 0.000 0.379
P3 0.399 0.000 0.158
P4 0.500 0.500 0.000
P5 0.587 0.500 0.379
P6 0.899 0.500 0.158
Se1 0.228 0.500 0.558
Se2 0.728 0.000 0.558
N1 0.182 0.000 0.173
N2 0.682 0.500 0.173

***

# P3SeN, optimized geometry, DFT PBE
# M_tot   0.000 μB per formula unit
# Excess energy over the best structure of this formula in the dataset   0.048 eV per atom
# Uncorrected energy   -5.460 eV per atom
# Calculated volume   110 Å³/cell
# Formation energy without anion corrections   0.148 eV per atom
data_P3SeN
_chemical_formula_sum 'P3 Se1 N1'
_symmetry_space_group_name_H-M 'P 1'
_symmetry_Int_Tables_number 1
_symmetry_space_group_name_Hall 'P 1'
_cell_length_a 4.328
_cell_length_b 5.021
_cell_length_c 5.523
_cell_angle_alpha 88.04
_cell_angle_beta 70.49
_cell_angle_gamma 76.01
loop_
_atom_site_label
_atom_site_fract_x
_atom_site_fract_y
_atom_site_fract_z
P1 0.000 0.000 0.000
P2 0.006 0.031 0.401
P3 0.531 0.352 0.035
Se1 0.572 0.420 0.612
N1 0.241 0.152 0.124

***

# P3SeN, optimized geometry, DFT PBE
# M_tot   0.000 μB per formula unit
# Excess energy over the best structure of this formula in the dataset   0.000 eV per atom
# Uncorrected energy   -5.508 eV per atom
# Calculated volume   231 Å³/cell
# Formation energy without anion corrections   0.100 eV per atom
data_P3SeN
_chemical_formula_sum 'P6 Se2 N2'
_symmetry_space_group_name_H-M 'P 1'
_symmetry_Int_Tables_number 1
_symmetry_space_group_name_Hall 'P 1'
_cell_length_a 10.169
_cell_length_b 3.322
_cell_length_c 7.134
_cell_angle_alpha 90.00
_cell_angle_beta 106.91
_cell_angle_gamma 90.00
loop_
_atom_site_label
_atom_site_fract_x
_atom_site_fract_y
_atom_site_fract_z
P1 0.000 0.000 0.000
P2 0.146 0.500 0.989
P3 0.321 0.500 0.726
P4 0.500 0.500 0.000
P5 0.646 0.000 0.989
P6 0.821 0.000 0.726
Se1 0.332 0.000 0.509
Se2 0.832 0.500 0.509
N1 0.180 0.500 0.776
N2 0.680 0.000 0.776

***

# P3SeN, optimized geometry, DFT PBE
# M_tot   0.000 μB per formula unit
# Excess energy over the best structure of this formula in the dataset   0.137 eV per atom
# Uncorrected energy   -5.371 eV per atom
# Calculated volume   103 Å³/cell
# Formation energy without anion corrections   0.237 eV per atom
data_P3SeN
_chemical_formula_sum 'P3 Se1 N1'
_symmetry_space_group_name_H-M 'P 1'
_symmetry_Int_Tables_number 1
_symmetry_space_group_name_Hall 'P 1'
_cell_length_a 4.010
_cell_length_b 4.457
_cell_length_c 6.576
_cell_angle_alpha 95.50
_cell_angle_beta 95.36
_cell_angle_gamma 116.71
loop_
_atom_site_label
_atom_site_fract_x
_atom_site_fract_y
_atom_site_fract_z
P1 0.000 0.000 0.000
P2 0.019 0.181 0.605
P3 0.510 0.843 0.743
Se1 0.088 0.629 0.164
N1 0.246 0.049 0.793

***

# PSe2N, optimized geometry, DFT PBE
# M_tot   0.054 μB per formula unit
# Excess energy over the best structure of this formula in the dataset   0.608 eV per atom
# Uncorrected energy   -3.679 eV per atom
# Calculated volume   238 Å³/cell
# Formation energy without anion corrections   1.497 eV per atom
data_PSe2N
_chemical_formula_sum 'P4 Se8 N4'
_symmetry_space_group_name_H-M 'P 1'
_symmetry_Int_Tables_number 1
_symmetry_space_group_name_Hall 'P 1'
_cell_length_a 6.195
_cell_length_b 6.195
_cell_length_c 6.195
_cell_angle_alpha 90.00
_cell_angle_beta 90.00
_cell_angle_gamma 90.00
loop_
_atom_site_label
_atom_site_fract_x
_atom_site_fract_y
_atom_site_fract_z
P1 0.000 0.000 0.000
P2 0.000 0.500 0.500
P3 0.500 0.000 0.500
P4 0.500 0.500 0.000
Se1 0.250 0.250 0.250
Se2 0.250 0.250 0.750
Se3 0.250 0.750 0.250
Se4 0.250 0.750 0.750
Se5 0.750 0.250 0.250
Se6 0.750 0.250 0.750
Se7 0.750 0.750 0.250
Se8 0.750 0.750 0.750
N1 0.000 0.000 0.500
N2 0.000 0.500 0.000
N3 0.500 0.000 0.000
N4 0.500 0.500 0.500

***

The highest uncorrected energy belongs to which entry? PSe2N